# ZrPt2O

Crystalline ZrPt2O at its relaxed geometry (PBE, Alexandria via LeMat-Bulk).

```
data_ZrPt2O
_cell_length_a 7.184
_cell_length_b 7.184
_cell_length_c 4.881
_cell_angle_alpha 90.00
_cell_angle_beta 90.00
_cell_angle_gamma 90.00
_space_group_name_H-M_alt 'I -4 2 d'
_space_group_IT_number 122
_space_group_name_Hall 'I -4 2bw'
loop_
_atom_site_label
_atom_site_type_symbol
_atom_site_fract_x
_atom_site_fract_y
_atom_site_fract_z
Zr1 Zr 0.000 0.000 0.000
Pt1 Pt 0.201 0.250 0.625
O1 O 0.000 0.000 0.500
```

Calculated values
**V**: 63 Å³/f.u.
**Raw formation energy**: -655 meV per atom
**Uncorrected energy**: -112.83 eV for the cell shown

=====

# Sm2HfThP4

Crystalline Sm2HfThP4 at its relaxed geometry (PBE, Alexandria via LeMat-Bulk).

```
data_Sm2HfThP4
_cell_length_a 6.938
_cell_length_b 4.011
_cell_length_c 6.968
_cell_angle_alpha 90.00
_cell_angle_beta 109.33
_cell_angle_gamma 90.00
_space_group_name_H-M_alt 'P 1 2/m 1'
_space_group_IT_number 10
loop_
_space_group_symop_operation_xyz
'x,y,z'
'-x,-y,-z'
'-x,y,-z'
'x,-y,z'
loop_
_atom_site_label
_atom_site_type_symbol
_atom_site_fract_x
_atom_site_fract_y
_atom_site_fract_z
Sm1 Sm 0.000 0.000 0.000
Sm2 Sm 0.500 0.500 0.000
Hf1 Hf 0.000 0.500 0.500
Th1 Th 0.500 0.000 0.500
P1 P 0.230 0.000 0.732
P2 P 0.238 0.500 0.259
```

Calculated values
**V**: 183 Å³/f.u.
**Calculated formation energy**: -1457.9 meV per atom
**Uncorrected energy**: -60.11 eV for the cell shown

=====

# Sr2LiPt

Crystalline Sr2LiPt at its relaxed geometry (PBE, Alexandria via LeMat-Bulk).

```
data_Sr2LiPt
_cell_length_a 8.688
_cell_length_b 8.688
_cell_length_c 7.146
_cell_angle_alpha 90.00
_cell_angle_beta 90.00
_cell_angle_gamma 90.00
_space_group_name_H-M_alt 'I -4 2 d'
_space_group_IT_number 122
_space_group_name_Hall 'I -4 2bw'
loop_
_atom_site_label
_atom_site_type_symbol
_atom_site_fract_x
_atom_site_fract_y
_atom_site_fract_z
Sr1 Sr 0.199 0.250 0.125
Li1 Li 0.000 0.000 0.500
Pt1 Pt 0.000 0.000 0.000
```

Calculated values
**Offset from the most stable computed form**: 321 meV/atom
**V**: 135 Å³/f.u.
**Calculated formation energy**: -191.7 meV per atom
**Uncorrected energy**: -48.34 eV for the cell shown